Below is a geometry-optimized SrAlCl3 structure, with properties calculated at the GGA-PBE level.

Output
* mass density: 2.03 g/cm3
* E_tot: -3.602 eV/atom
* raw formation energy: -1409 meV per atom
* distance to the lowest polymorph of the same formula: 0.000 eV/atom

Geometry as CIF:
```
data_SrAlCl3
_cell_length_a 5.6504
_cell_length_b 5.6504
_cell_length_c 5.6504
_cell_angle_alpha 90.00
_cell_angle_beta 90.00
_cell_angle_gamma 90.00
_space_group_name_H-M_alt 'P m -3 m'
_space_group_IT_number 221
_space_group_name_Hall '-P 4 2 3'
loop_
_atom_site_label
_atom_site_type_symbol
_atom_site_fract_x
_atom_site_fract_y
_atom_site_fract_z
_atom_site_occupancy
Sr1 Sr 0.0000 0.0000 0.0000 1
Al1 Al 0.5000 0.5000 0.5000 1
Cl1 Cl 0.0000 0.0000 0.5000 1
```



Below is a geometry-optimized SrAl3Cl structure, with properties calculated at the GGA-PBE level.

Output
* mass density: 2.41 g/cm3
* E_tot: -2.748 eV/atom
* raw formation energy: 203 meV per atom
* distance to the lowest polymorph of the same formula: 0.000 eV/atom

Geometry as CIF:
```
data_SrAl3Cl
_cell_length_a 5.1971
_cell_length_b 5.1971
_cell_length_c 5.1971
_cell_angle_alpha 90.00
_cell_angle_beta 90.00
_cell_angle_gamma 90.00
_space_group_name_H-M_alt 'P m -3 m'
_space_group_IT_number 221
_space_group_name_Hall '-P 4 2 3'
loop_
_atom_site_label
_atom_site_type_symbol
_atom_site_fract_x
_atom_site_fract_y
_atom_site_fract_z
_atom_site_occupancy
Sr1 Sr 0.0000 0.0000 0.0000 1
Al1 Al 0.0000 0.5000 0.5000 1
Cl1 Cl 0.5000 0.5000 0.5000 1
```